1.
# La6PC2Cl3 | Alexandria via LeMat-Bulk | GGA-PBE | relaxed
data_La6PC2Cl3
_symmetry_space_group_name_H-M 'C 1 2/m 1'
_symmetry_Int_Tables_number 12
_cell_length_a 18.5538
_cell_length_b 3.9693
_cell_length_c 8.6447
_cell_angle_alpha 90.00
_cell_angle_beta 109.00
_cell_angle_gamma 90.00
loop_
_symmetry_equiv_pos_as_xyz
'x,y,z'
'-x,-y,-z'
'-x,y,-z'
'x,-y,z'
'x+1/2,y+1/2,z'
'-x+1/2,-y+1/2,-z'
'-x+1/2,y+1/2,-z'
'x+1/2,-y+1/2,z'
loop_
_atom_site_label
_atom_site_type_symbol
_atom_site_fract_x
_atom_site_fract_y
_atom_site_fract_z
_atom_site_occupancy
La1 La 0.0213 0.0000 0.2474 1
La2 La 0.1664 0.5000 0.1303 1
La3 La 0.1806 0.5000 0.5536 1
P1 P 0.0000 0.5000 0.0000 1
C1 C 0.1694 0.0000 0.3331 1
Cl1 Cl 0.0000 0.5000 0.5000 1
Cl2 Cl 0.1633 0.0000 0.8297 1
# Raw formation energy in meV per atom: -1258

***

2.
# TaBe3Cd | Alexandria via LeMat-Bulk | GGA-PBE | relaxed
data_TaBe3Cd
_symmetry_space_group_name_H-M 'P m -3 m'
_symmetry_Int_Tables_number 221
_symmetry_space_group_name_Hall '-P 4 2 3'
_cell_length_a 4.5261
_cell_length_b 4.5261
_cell_length_c 4.5261
_cell_angle_alpha 90.00
_cell_angle_beta 90.00
_cell_angle_gamma 90.00
loop_
_atom_site_label
_atom_site_type_symbol
_atom_site_fract_x
_atom_site_fract_y
_atom_site_fract_z
_atom_site_occupancy
Ta1 Ta 0.0000 0.0000 0.0000 1
Be1 Be 0.0000 0.0000 0.5000 1
Cd1 Cd 0.5000 0.5000 0.5000 1
# E_form in eV per atom: 1.50

***

3.
# U3TcSb2 | Alexandria via LeMat-Bulk | GGA-PBE | relaxed
data_U3TcSb2
_symmetry_space_group_name_H-M 'C 1 2/m 1'
_symmetry_Int_Tables_number 12
_cell_length_a 7.2100
_cell_length_b 12.5011
_cell_length_c 7.4413
_cell_angle_alpha 90.00
_cell_angle_beta 109.20
_cell_angle_gamma 90.00
loop_
_symmetry_equiv_pos_as_xyz
'x,y,z'
'-x,-y,-z'
'-x,y,-z'
'x,-y,z'
'x+1/2,y+1/2,z'
'-x+1/2,-y+1/2,-z'
'-x+1/2,y+1/2,-z'
'x+1/2,-y+1/2,z'
loop_
_atom_site_label
_atom_site_type_symbol
_atom_site_fract_x
_atom_site_fract_y
_atom_site_fract_z
_atom_site_occupancy
U1 U 0.2044 0.0000 0.2079 1
U2 U 0.2441 0.1820 0.7795 1
Tc1 Tc 0.0000 0.1661 0.0000 1
Sb1 Sb 0.0000 0.0000 0.5000 1
Sb2 Sb 0.0000 0.3495 0.5000 1
Sb3 Sb 0.0000 0.5000 0.0000 1
# Raw formation energy in meV per atom: 25

***

4.
# NdGa4Cu12 | Alexandria via LeMat-Bulk | GGA-PBE | relaxed
data_NdGa4Cu12
_symmetry_space_group_name_H-M 'I m -3'
_symmetry_Int_Tables_number 204
_symmetry_space_group_name_Hall '-I 2 2 3'
_cell_length_a 8.2864
_cell_length_b 8.2864
_cell_length_c 8.2864
_cell_angle_alpha 90.00
_cell_angle_beta 90.00
_cell_angle_gamma 90.00
loop_
_atom_site_label
_atom_site_type_symbol
_atom_site_fract_x
_atom_site_fract_y
_atom_site_fract_z
_atom_site_occupancy
Nd1 Nd 0.0000 0.0000 0.0000 1
Ga1 Ga 0.2500 0.2500 0.2500 1
Cu1 Cu 0.0000 0.1479 0.3559 1
# E_form in eV per atom: 0.29

***

5.
# Ga3TcCl | Alexandria via LeMat-Bulk | GGA-PBE | relaxed
data_Ga3TcCl
_symmetry_space_group_name_H-M 'P m -3 m'
_symmetry_Int_Tables_number 221
_symmetry_space_group_name_Hall '-P 4 2 3'
_cell_length_a 4.8995
_cell_length_b 4.8995
_cell_length_c 4.8995
_cell_angle_alpha 90.00
_cell_angle_beta 90.00
_cell_angle_gamma 90.00
loop_
_atom_site_label
_atom_site_type_symbol
_atom_site_fract_x
_atom_site_fract_y
_atom_site_fract_z
_atom_site_occupancy
Ga1 Ga 0.0000 0.0000 0.5000 1
Tc1 Tc 0.0000 0.0000 0.0000 1
Cl1 Cl 0.5000 0.5000 0.5000 1
# Raw formation energy in meV per atom: 51

***

6.
# CuNiRh2C | Alexandria via LeMat-Bulk | GGA-PBE | relaxed
data_CuNiRh2C
_symmetry_space_group_name_H-M 'P 4/m m m'
_symmetry_Int_Tables_number 123
_symmetry_space_group_name_Hall '-P 4 2'
_cell_length_a 4.0268
_cell_length_b 4.0268
_cell_length_c 3.7563
_cell_angle_alpha 90.00
_cell_angle_beta 90.00
_cell_angle_gamma 90.00
loop_
_atom_site_label
_atom_site_type_symbol
_atom_site_fract_x
_atom_site_fract_y
_atom_site_fract_z
_atom_site_occupancy
Cu1 Cu 0.0000 0.0000 0.0000 1
Ni1 Ni 0.5000 0.5000 0.0000 1
Rh1 Rh 0.0000 0.5000 0.5000 1
C1 C 0.5000 0.5000 0.5000 1
# E_form in eV per atom: 0.15

***

7.
# YTlPt | Alexandria via LeMat-Bulk | GGA-PBE | relaxed
data_YTlPt
_symmetry_space_group_name_H-M 'F -4 3 m'
_symmetry_Int_Tables_number 216
_symmetry_space_group_name_Hall 'F -4 2 3'
_cell_length_a 6.7454
_cell_length_b 6.7454
_cell_length_c 6.7454
_cell_angle_alpha 90.00
_cell_angle_beta 90.00
_cell_angle_gamma 90.00
loop_
_atom_site_label
_atom_site_type_symbol
_atom_site_fract_x
_atom_site_fract_y
_atom_site_fract_z
_atom_site_occupancy
Y1 Y 0.0000 0.0000 0.0000 1
Tl1 Tl 0.0000 0.0000 0.5000 1
Pt1 Pt 0.2500 0.2500 0.2500 1
# E_form in eV per atom: -0.70

***

8.
# TcMoSe2 | Alexandria via LeMat-Bulk | GGA-PBE | relaxed
data_TcMoSe2
_symmetry_space_group_name_H-M 'P 1 m 1'
_symmetry_Int_Tables_number 6
_cell_length_a 3.7570
_cell_length_b 3.8925
_cell_length_c 6.4208
_cell_angle_alpha 90.00
_cell_angle_beta 90.10
_cell_angle_gamma 90.00
loop_
_symmetry_equiv_pos_as_xyz
'x,y,z'
'x,-y,z'
loop_
_atom_site_label
_atom_site_type_symbol
_atom_site_fract_x
_atom_site_fract_y
_atom_site_fract_z
_atom_site_occupancy
Tc1 Tc 0.0000 0.0000 0.0000 1
Mo1 Mo 0.5005 0.5000 0.0059 1
Se1 Se 0.0001 0.5000 0.7399 1
Se2 Se 0.5005 0.0000 0.2643 1
# Raw formation energy in meV per atom: -180

***

9.
# FeCuPd3 | Alexandria via LeMat-Bulk | GGA-PBE | relaxed
data_FeCuPd3
_symmetry_space_group_name_H-M 'R -3'
_symmetry_Int_Tables_number 148
_symmetry_space_group_name_Hall '-R 3'
_cell_length_a 5.3522
_cell_length_b 5.3522
_cell_length_c 18.9232
_cell_angle_alpha 90.00
_cell_angle_beta 90.00
_cell_angle_gamma 120.00
loop_
_atom_site_label
_atom_site_type_symbol
_atom_site_fract_x
_atom_site_fract_y
_atom_site_fract_z
_atom_site_occupancy
Fe1 Fe 0.0000 0.0000 0.0688 1
Cu1 Cu 0.0000 0.0000 0.3345 1
Pd1 Pd 0.0044 0.5594 0.8918 1
# E_form in eV per atom: 0.20

***

10.
# La2HoAl | Alexandria via LeMat-Bulk | GGA-PBE | relaxed
data_La2HoAl
_symmetry_space_group_name_H-M 'P 4/m m m'
_symmetry_Int_Tables_number 123
_symmetry_space_group_name_Hall '-P 4 2'
_cell_length_a 3.7314
_cell_length_b 3.7314
_cell_length_c 8.9190
_cell_angle_alpha 90.00
_cell_angle_beta 90.00
_cell_angle_gamma 90.00
loop_
_atom_site_label
_atom_site_type_symbol
_atom_site_fract_x
_atom_site_fract_y
_atom_site_fract_z
_atom_site_occupancy
La1 La 0.0000 0.0000 0.2149 1
Ho1 Ho 0.5000 0.5000 0.5000 1
Al1 Al 0.5000 0.5000 0.0000 1
# E_form in eV per atom: -0.12

***

11.
# Tl2InB2O6 | Alexandria via LeMat-Bulk | GGA-PBE | relaxed
data_Tl2InB2O6
_symmetry_space_group_name_H-M 'C 1 2/m 1'
_symmetry_Int_Tables_number 12
_cell_length_a 9.2880
_cell_length_b 5.3602
_cell_length_c 6.7477
_cell_angle_alpha 90.00
_cell_angle_beta 117.27
_cell_angle_gamma 90.00
loop_
_symmetry_equiv_pos_as_xyz
'x,y,z'
'-x,-y,-z'
'-x,y,-z'
'x,-y,z'
'x+1/2,y+1/2,z'
'-x+1/2,-y+1/2,-z'
'-x+1/2,y+1/2,-z'
'x+1/2,-y+1/2,z'
loop_
_atom_site_label
_atom_site_type_symbol
_atom_site_fract_x
_atom_site_fract_y
_atom_site_fract_z
_atom_site_occupancy
Tl1 Tl 0.2139 0.0000 0.1426 1
In1 In 0.0000 0.0000 0.5000 1
B1 B 0.0932 0.5000 0.2813 1
O1 O 0.0157 0.2758 0.2735 1
O2 O 0.2408 0.5000 0.2757 1
# Raw formation energy in meV per atom: -1601

***

12.
# ZrBi3Br | Alexandria via LeMat-Bulk | GGA-PBE | relaxed
data_ZrBi3Br
_symmetry_space_group_name_H-M 'P m -3 m'
_symmetry_Int_Tables_number 221
_symmetry_space_group_name_Hall '-P 4 2 3'
_cell_length_a 5.6634
_cell_length_b 5.6634
_cell_length_c 5.6634
_cell_angle_alpha 90.00
_cell_angle_beta 90.00
_cell_angle_gamma 90.00
loop_
_atom_site_label
_atom_site_type_symbol
_atom_site_fract_x
_atom_site_fract_y
_atom_site_fract_z
_atom_site_occupancy
Zr1 Zr 0.0000 0.0000 0.0000 1
Bi1 Bi 0.0000 0.0000 0.5000 1
Br1 Br 0.5000 0.5000 0.5000 1
# Raw formation energy in meV per atom: 91